This record from the Alexandria database describes a relaxed Sc3Ga9Co2 crystal. The functional is GGA-PBE.

## Properties
- M_tot (μB/f.u.) = 0.00
- raw total energy (eV/atom) = -4.79
- ΔE_f (eV/atom) = -0.47
- V (Å³ per atom) = 16.1

a = 7.782 Å, b = 7.782 Å, c = 7.782 Å
α = 149.46°, β = 106.28°, γ = 81.86°
Fractional coordinates of all 14 atoms:
Sc (0.000, 0.000, 0.000)
Sc (0.301, 0.301, 0.000)
Sc (0.699, 0.699, 0.000)
Ga (0.012, 0.647, 0.365)
Ga (0.152, 0.866, 0.286)
Ga (0.281, 0.647, 0.635)
Ga (0.420, 0.134, 0.286)
Ga (0.500, 0.000, 0.500)
Ga (0.580, 0.866, 0.714)
Ga (0.719, 0.353, 0.365)
Ga (0.848, 0.134, 0.714)
Ga (0.988, 0.353, 0.635)
Co (0.332, 0.500, 0.832)
Co (0.668, 0.500, 0.168)

This record from the Alexandria database describes a relaxed Ba2SbO crystal. The functional is GGA-PBE.

## Properties
- M_tot (μB/f.u.) = 1.00
- raw total energy (eV/atom) = -4.78
- energy relative to the elements, uncorrected (eV/atom) = -1.5481
- ΔE to the lowest computed polymorph (kJ per mole of atoms) = 1.8
- V (Å³ per atom) = 35.3

a = 7.862 Å, b = 7.862 Å, c = 9.134 Å
α = 90.00°, β = 90.00°, γ = 90.00°
Fractional coordinates of all 16 atoms:
Ba (0.151, 0.250, 0.125)
Ba (0.250, 0.651, 0.375)
Ba (0.250, 0.849, 0.875)
Ba (0.349, 0.250, 0.625)
Ba (0.651, 0.750, 0.625)
Ba (0.750, 0.151, 0.875)
Ba (0.750, 0.349, 0.375)
Ba (0.849, 0.750, 0.125)
Sb (0.000, 0.000, 0.500)
Sb (0.000, 0.500, 0.750)
Sb (0.500, 0.000, 0.250)
Sb (0.500, 0.500, 0.000)
O (0.000, 0.000, 0.000)
O (0.000, 0.500, 0.250)
O (0.500, 0.000, 0.750)
O (0.500, 0.500, 0.500)

This record from the Alexandria database describes a relaxed ReSiBBr2 crystal. The functional is GGA-PBE.

## Properties
- M_tot (μB/f.u.) = 0.43
- raw total energy (eV/atom) = -4.31
- energy relative to the elements, uncorrected (eV/atom) = 1.2640
- V (Å³ per atom) = 21.8

a = 5.191 Å, b = 5.191 Å, c = 4.039 Å
α = 90.00°, β = 90.00°, γ = 90.00°
Fractional coordinates of all 5 atoms:
Re (0.000, 0.000, 0.000)
Si (0.500, 0.500, 0.500)
B (0.000, 0.000, 0.500)
Br (0.000, 0.500, 0.000)
Br (0.500, 0.000, 0.000)

This record from the Alexandria database describes a relaxed Sm4PaSe5 crystal. The functional is GGA-PBE.

## Properties
- M_tot (μB/f.u.) = 0.91
- raw total energy (eV/atom) = -6.27
- energy relative to the elements, uncorrected (eV/atom) = -1.6867
- ΔE to the lowest computed polymorph (kJ per mole of atoms) = 0.3
- V (Å³ per atom) = 25.3

a = 17.470 Å, b = 17.470 Å, c = 17.470 Å
α = 13.51°, β = 13.51°, γ = 13.51°
Fractional coordinates of all 10 atoms:
Sm (0.102, 0.102, 0.102)
Sm (0.301, 0.301, 0.301)
Sm (0.699, 0.699, 0.699)
Sm (0.898, 0.898, 0.898)
Pa (0.500, 0.500, 0.500)
Se (0.000, 0.000, 0.000)
Se (0.199, 0.199, 0.199)
Se (0.400, 0.400, 0.400)
Se (0.600, 0.600, 0.600)
Se (0.801, 0.801, 0.801)

This record from the Alexandria database describes a relaxed NaTbZnCd crystal. The functional is GGA-PBE.

## Properties
- M_tot (μB/f.u.) = 0.00
- raw total energy (eV/atom) = -2.14
- ΔE_f (eV/atom) = -0.10
- V (Å³ per atom) = 23.6

a = 7.232 Å, b = 7.232 Å, c = 7.232 Å
α = 90.00°, β = 90.00°, γ = 90.00°
Fractional coordinates of all 16 atoms:
Na (0.000, 0.000, 0.000)
Na (0.000, 0.500, 0.500)
Na (0.500, 0.000, 0.500)
Na (0.500, 0.500, 0.000)
Tb (0.000, 0.000, 0.500)
Tb (0.000, 0.500, 0.000)
Tb (0.500, 0.000, 0.000)
Tb (0.500, 0.500, 0.500)
Zn (0.250, 0.250, 0.250)
Zn (0.250, 0.750, 0.750)
Zn (0.750, 0.250, 0.750)
Zn (0.750, 0.750, 0.250)
Cd (0.250, 0.250, 0.750)
Cd (0.250, 0.750, 0.250)
Cd (0.750, 0.250, 0.250)
Cd (0.750, 0.750, 0.750)

This record from the Alexandria database describes a relaxed TbZn3 crystal. The functional is GGA-PBE.

## Properties
- M_tot (μB/f.u.) = 0.00
- raw total energy (eV/atom) = -2.47
- ΔE_f (eV/atom) = -0.36
- V (Å³ per atom) = 18.6

a = 6.702 Å, b = 4.405 Å, c = 10.100 Å
α = 90.00°, β = 90.00°, γ = 90.00°
Fractional coordinates of all 16 atoms:
Tb (0.220, 0.250, 0.160)
Tb (0.280, 0.750, 0.660)
Tb (0.720, 0.250, 0.340)
Tb (0.780, 0.750, 0.840)
Zn (0.035, 0.750, 0.395)
Zn (0.084, 0.250, 0.852)
Zn (0.219, 0.750, 0.955)
Zn (0.281, 0.250, 0.455)
Zn (0.416, 0.750, 0.352)
Zn (0.465, 0.250, 0.895)
Zn (0.535, 0.750, 0.105)
Zn (0.584, 0.250, 0.648)
Zn (0.719, 0.750, 0.545)
Zn (0.781, 0.250, 0.045)
Zn (0.916, 0.750, 0.148)
Zn (0.965, 0.250, 0.605)

This record from the Alexandria database describes a relaxed CrBPtS2 crystal. The functional is GGA-PBE.

## Properties
- M_tot (μB/f.u.) = 3.20
- raw total energy (eV/atom) = -5.37
- energy relative to the elements, uncorrected (eV/atom) = 0.7459
- V (Å³ per atom) = 13.9

a = 4.106 Å, b = 4.106 Å, c = 4.126 Å
α = 90.00°, β = 90.00°, γ = 90.00°
Fractional coordinates of all 5 atoms:
Cr (0.000, 0.000, 0.000)
B (0.000, 0.000, 0.500)
Pt (0.500, 0.500, 0.000)
S (0.000, 0.500, 0.500)
S (0.500, 0.000, 0.500)

This record from the Alexandria database describes a relaxed PaHIr2Ru crystal. The functional is GGA-PBE.

## Properties
- M_tot (μB/f.u.) = 0.00
- raw total energy (eV/atom) = -8.52
- V (Å³ per atom) = 13.9

a = 4.071 Å, b = 4.071 Å, c = 4.202 Å
α = 90.00°, β = 90.00°, γ = 90.00°
Fractional coordinates of all 5 atoms:
Pa (0.000, 0.000, 0.000)
H (0.500, 0.500, 0.500)
Ir (0.000, 0.500, 0.500)
Ir (0.500, 0.000, 0.500)
Ru (0.500, 0.500, 0.000)

What is the V in the sixth record? 18.6 Å³ per atom